Record 1
{
  "formula": "Tb3Tl2Bi",
  "functional": "PBE-GGA",
  "state": "optimized geometry",
  "cell": [[5.278, 0.000, 0.000], [0.000, 15.518, 0.000], [0.000, 0.000, 4.142]],
  "species": ["Tb", "Tb", "Tb", "Tb", "Tb", "Tb", "Tl", "Tl", "Tl", "Tl", "Bi", "Bi"],
  "fractional_positions": [[0.250, 0.085, 0.001], [0.250, 0.415, 0.001], [0.250, 0.750, 0.999], [0.750, 0.250, 0.001], [0.750, 0.585, 0.999], [0.750, 0.915, 0.999], [0.250, 0.578, 0.500], [0.250, 0.922, 0.500], [0.750, 0.078, 0.500], [0.750, 0.422, 0.500], [0.250, 0.250, 0.501], [0.750, 0.750, 0.499]],
  "n_ef_per_ev_atom": 0.784,
  "m_tot_mub_per_fu": 0.0,
  "e_form_ev_per_atom": -0.44,
  "sg": "No. 59"
}


Record 2
{
  "formula": "TbYTlBi",
  "functional": "PBE-GGA",
  "state": "optimized geometry",
  "cell": [[0.000, 3.858, 3.858], [3.858, 0.000, 3.858], [3.858, 3.858, 0.000]],
  "species": ["Tb", "Y", "Tl", "Bi"],
  "fractional_positions": [[0.000, 0.000, 0.000], [0.500, 0.500, 0.500], [0.750, 0.750, 0.750], [0.250, 0.250, 0.250]],
  "n_ef_per_ev_atom": 0.924,
  "m_tot_mub_per_fu": 0.0,
  "e_form_ev_per_atom": -0.43,
  "sg": "No. 216"
}


Record 3
{
  "formula": "TbTm5Bi5",
  "functional": "PBE-GGA",
  "state": "optimized geometry",
  "cell": [[6.892, -3.110, 0.000], [6.892, 3.110, 0.000], [-2.757, 0.000, 8.323]],
  "species": ["Tb", "Tm", "Tm", "Tm", "Tm", "Tm", "Bi", "Bi", "Bi", "Bi", "Bi"],
  "fractional_positions": [[0.000, 0.000, 0.000], [0.000, 0.000, 0.500], [0.336, 0.336, 0.172], [0.339, 0.339, 0.663], [0.661, 0.661, 0.337], [0.664, 0.664, 0.828], [0.168, 0.168, 0.338], [0.171, 0.171, 0.830], [0.500, 0.500, 0.000], [0.829, 0.829, 0.170], [0.832, 0.832, 0.662]],
  "n_ef_per_ev_atom": 0.387,
  "m_tot_mub_per_fu": 0.0,
  "e_form_ev_per_atom": -0.60,
  "sg": "No. 12"
}


Record 4
{
  "formula": "TbTm3Bi3",
  "functional": "PBE-GGA",
  "state": "optimized geometry",
  "cell": [[4.511, 2.604, 6.242], [-4.511, 2.604, 6.242], [0.000, -5.209, 6.242]],
  "species": ["Tb", "Tb", "Tm", "Tm", "Tm", "Tm", "Tm", "Tm", "Bi", "Bi", "Bi", "Bi", "Bi", "Bi"],
  "fractional_positions": [[0.166, 0.166, 0.166], [0.834, 0.834, 0.834], [0.167, 0.672, 0.419], [0.328, 0.581, 0.833], [0.419, 0.167, 0.672], [0.581, 0.833, 0.328], [0.672, 0.419, 0.167], [0.833, 0.328, 0.581], [0.022, 0.415, 0.804], [0.196, 0.978, 0.585], [0.415, 0.804, 0.022], [0.585, 0.196, 0.978], [0.804, 0.022, 0.415], [0.978, 0.585, 0.196]],
  "n_ef_per_ev_atom": 0.801,
  "polymorph_energy_kcal_per_mol_atoms": 1.50,
  "m_tot_mub_per_fu": 0.0,
  "e_form_ev_per_atom": -0.60,
  "sg": "No. 148"
}


Record 5
{
  "formula": "Tb3Tm4Bi8",
  "functional": "PBE-GGA",
  "state": "optimized geometry",
  "cell": [[6.275, -6.280, 0.000], [6.275, 6.280, 0.000], [-6.257, 0.000, 6.282]],
  "species": ["Tb", "Tb", "Tb", "Tm", "Tm", "Tm", "Tm", "Bi", "Bi", "Bi", "Bi", "Bi", "Bi", "Bi", "Bi"],
  "fractional_positions": [[0.000, 0.000, 0.000], [0.000, 0.500, 0.000], [0.500, 0.000, 0.000], [0.000, 0.500, 0.500], [0.500, 0.000, 0.500], [0.500, 0.500, 0.000], [0.500, 0.500, 0.500], [0.246, 0.754, 0.500], [0.248, 0.248, 0.503], [0.248, 0.248, 0.993], [0.251, 0.749, 0.000], [0.749, 0.251, 0.000], [0.752, 0.752, 0.007], [0.752, 0.752, 0.497], [0.754, 0.246, 0.500]],
  "n_ef_per_ev_atom": 0.548,
  "m_tot_mub_per_fu": 0.0,
  "e_form_ev_per_atom": -0.64,
  "sg": "No. 12"
}


Record 6
{
  "formula": "TbTm4Bi2",
  "functional": "PBE-GGA",
  "state": "optimized geometry",
  "cell": [[-2.649, 2.649, 8.269], [2.649, -2.649, 8.269], [2.649, 2.649, -8.269]],
  "species": ["Tb", "Tm", "Tm", "Tm", "Tm", "Bi", "Bi"],
  "fractional_positions": [[0.000, 0.000, 0.000], [0.000, 0.500, 0.500], [0.181, 0.181, 0.000], [0.500, 0.000, 0.500], [0.819, 0.819, 0.000], [0.365, 0.365, 0.000], [0.635, 0.635, 0.000]],
  "n_ef_per_ev_atom": 0.938,
  "m_tot_mub_per_fu": 0.0,
  "e_form_ev_per_atom": 0.39,
  "sg": "No. 139"
}


Record 7
{
  "formula": "Tb8TmBi6",
  "functional": "PBE-GGA",
  "state": "optimized geometry",
  "cell": [[11.524, 0.000, 0.000], [-5.762, 9.980, 0.000], [0.000, 0.000, 4.329]],
  "species": ["Tb", "Tb", "Tb", "Tb", "Tb", "Tb", "Tb", "Tb", "Tm", "Bi", "Bi", "Bi", "Bi", "Bi", "Bi"],
  "fractional_positions": [[0.043, 0.735, 0.266], [0.265, 0.307, 0.266], [0.307, 0.043, 0.734], [0.333, 0.667, 0.735], [0.667, 0.333, 0.265], [0.693, 0.957, 0.266], [0.735, 0.693, 0.734], [0.957, 0.265, 0.734], [0.000, 0.000, 0.000], [0.121, 0.480, 0.236], [0.359, 0.879, 0.236], [0.480, 0.359, 0.764], [0.520, 0.641, 0.236], [0.641, 0.121, 0.764], [0.879, 0.520, 0.764]],
  "n_ef_per_ev_atom": 0.964,
  "m_tot_mub_per_fu": 1.5,
  "e_form_ev_per_atom": -0.38,
  "sg": "No. 147"
}


Record 8
{
  "formula": "Tb2Tm2Bi5",
  "functional": "PBE-GGA",
  "state": "optimized geometry",
  "cell": [[7.958, -4.091, 0.000], [7.958, 4.091, 0.000], [0.000, 0.000, 8.447]],
  "species": ["Tb", "Tb", "Tb", "Tb", "Tm", "Tm", "Tm", "Tm", "Bi", "Bi", "Bi", "Bi", "Bi", "Bi", "Bi", "Bi", "Bi", "Bi"],
  "fractional_positions": [[0.193, 0.193, 0.000], [0.307, 0.307, 0.500], [0.693, 0.693, 0.500], [0.807, 0.807, 0.000], [0.153, 0.847, 0.658], [0.347, 0.653, 0.158], [0.653, 0.347, 0.842], [0.847, 0.153, 0.342], [0.000, 0.000, 0.000], [0.013, 0.707, 0.348], [0.207, 0.513, 0.848], [0.293, 0.987, 0.348], [0.487, 0.793, 0.848], [0.500, 0.500, 0.500], [0.513, 0.207, 0.152], [0.707, 0.013, 0.652], [0.793, 0.487, 0.152], [0.987, 0.293, 0.652]],
  "n_ef_per_ev_atom": 0.562,
  "m_tot_mub_per_fu": 0.0,
  "e_form_ev_per_atom": -0.60,
  "sg": "No. 64"
}


Record 9
{
  "formula": "TbTm3Bi3",
  "functional": "PBE-GGA",
  "state": "optimized geometry",
  "cell": [[9.318, 0.000, 0.000], [0.000, 9.318, 0.000], [0.000, 0.000, 9.318]],
  "species": ["Tb", "Tb", "Tb", "Tb", "Tm", "Tm", "Tm", "Tm", "Tm", "Tm", "Tm", "Tm", "Tm", "Tm", "Tm", "Tm", "Bi", "Bi", "Bi", "Bi", "Bi", "Bi", "Bi", "Bi", "Bi", "Bi", "Bi", "Bi"],
  "fractional_positions": [[0.072, 0.428, 0.572], [0.428, 0.572, 0.072], [0.572, 0.072, 0.428], [0.928, 0.928, 0.928], [0.077, 0.577, 0.923], [0.176, 0.824, 0.324], [0.177, 0.177, 0.177], [0.323, 0.823, 0.677], [0.324, 0.176, 0.824], [0.423, 0.423, 0.423], [0.577, 0.923, 0.077], [0.676, 0.676, 0.676], [0.677, 0.323, 0.823], [0.823, 0.677, 0.323], [0.824, 0.324, 0.176], [0.923, 0.077, 0.577], [0.001, 0.254, 0.877], [0.123, 0.501, 0.246], [0.246, 0.123, 0.501], [0.254, 0.877, 0.001], [0.377, 0.499, 0.746], [0.499, 0.746, 0.377], [0.501, 0.246, 0.123], [0.623, 0.999, 0.754], [0.746, 0.377, 0.499], [0.754, 0.623, 0.999], [0.877, 0.001, 0.254], [0.999, 0.754, 0.623]],
  "n_ef_per_ev_atom": 1.132,
  "polymorph_energy_kcal_per_mol_atoms": 0.00,
  "m_tot_mub_per_fu": 0.0,
  "e_form_ev_per_atom": -0.66,
  "sg": "No. 198"
}


Record 10
{
  "formula": "Tb2Tm5Bi4",
  "functional": "PBE-GGA",
  "state": "optimized geometry",
  "cell": [[12.503, -1.736, 0.000], [12.503, 1.736, 0.000], [-0.174, 0.000, 8.050]],
  "species": ["Tb", "Tb", "Tm", "Tm", "Tm", "Tm", "Tm", "Bi", "Bi", "Bi", "Bi"],
  "fractional_positions": [[0.233, 0.233, 0.319], [0.767, 0.767, 0.681], [0.000, 0.000, 0.500], [0.329, 0.329, 0.014], [0.361, 0.361, 0.448], [0.639, 0.639, 0.552], [0.671, 0.671, 0.986], [0.098, 0.098, 0.237], [0.450, 0.450, 0.193], [0.550, 0.550, 0.807], [0.902, 0.902, 0.763]],
  "n_ef_per_ev_atom": 0.787,
  "m_tot_mub_per_fu": 0.0,
  "e_form_ev_per_atom": -0.20,
  "sg": "No. 12"
}


Record 11
{
  "formula": "TbTmBi",
  "functional": "PBE-GGA",
  "state": "optimized geometry",
  "cell": [[5.241, 0.000, 0.000], [-2.621, 4.539, 0.000], [0.000, 0.000, 3.833]],
  "species": ["Tb", "Tm", "Bi"],
  "fractional_positions": [[0.000, 0.000, 0.000], [0.667, 0.333, 0.467], [0.333, 0.667, 0.701]],
  "n_ef_per_ev_atom": 1.189,
  "m_tot_mub_per_fu": 0.0,
  "e_form_ev_per_atom": -0.25,
  "sg": "No. 156"
}


Record 12
{
  "formula": "TbTmBi",
  "functional": "PBE-GGA",
  "state": "optimized geometry",
  "cell": [[6.629, -1.719, 0.000], [6.629, 1.719, 0.000], [-2.541, 0.000, 10.552]],
  "species": ["Tb", "Tb", "Tm", "Tm", "Bi", "Bi"],
  "fractional_positions": [[0.173, 0.173, 0.366], [0.827, 0.827, 0.634], [0.091, 0.091, 0.647], [0.909, 0.909, 0.353], [0.499, 0.499, 0.156], [0.501, 0.501, 0.844]],
  "n_ef_per_ev_atom": 1.640,
  "m_tot_mub_per_fu": 0.0,
  "e_form_ev_per_atom": 0.09,
  "sg": "No. 12"
}


E_tot / Ha/atom: -0.1539, -0.1750, -0.1769, -0.1779, -0.1776, -0.1446, -0.1726, -0.1758, -0.1803, -0.1647, -0.1682, -0.1559